Material: Pb4O5
Method: DFT, PBE-GGA
State: relaxed

The space group is I4/m (No. 87) and the conventional cell measures 9.631, 9.631 and 3.907 Å, with angles of 90.00, 90.00 and 90.00 degrees. The distinct sites, in fractional coordinates, are Pb at (0.079, 0.247, 0.000), O at (0.000, 0.000, 0.000) and O at (0.150, 0.663, 0.000).

The total moment comes out at 0.00 μB/f.u. The value obtained for the energy is -95.19 eV for the cell shown. Its density of states at the Fermi level is 8.7 states/eV per cell. The uncorrected formation energy is -85 kJ/mol of atoms.

Material: Pb2O3
Method: DFT, PBE-GGA
State: relaxed

The space group is C2/m (No. 12) and the conventional cell measures 6.872, 8.729 and 5.447 Å, with angles of 90.00, 104.95 and 90.00 degrees. The distinct sites, in fractional coordinates, are Pb at (0.000, 0.000, 0.000), Pb at (0.000, 0.500, 0.000), Pb at (0.250, 0.250, 0.500), O at (0.062, 0.250, 0.774) and O at (0.250, 0.000, 0.497).

The total moment comes out at 0.00 μB/f.u. The value obtained for the energy is -104.84 eV for the cell shown. Its density of states at the Fermi level is 0.0 states/eV per cell. The uncorrected formation energy is -76 kJ/mol of atoms.

Material: PbO
Method: DFT, PBE-GGA
State: relaxed

The space group is P6_3mc (No. 186) and the conventional cell measures 4.2018, 4.2018 and 5.8428 Å, with angles of 90.00, 90.00 and 120.00 degrees. The distinct sites, in fractional coordinates, are Pb at (0.3333, 0.6667, 0.0000) and O at (0.3333, 0.6667, 0.5952).

The total moment comes out at 0.00 μB/f.u. The value obtained for the energy is -21.18 eV for the cell shown. Its density of states at the Fermi level is 0.0 states/eV per cell. The uncorrected formation energy is -93 kJ/mol of atoms.

Material: PbO
Method: DFT, PBE-GGA
State: relaxed

The space group is I-43m (No. 217) and the conventional cell measures 8.525, 8.525 and 8.525 Å, with angles of 90.00, 90.00 and 90.00 degrees. The distinct sites, in fractional coordinates, are Pb at (0.142, 0.142, 0.858) and O at (0.125, 0.125, 0.125).

The total moment comes out at 0.00 μB/f.u. The value obtained for the energy is -84.07 eV for the cell shown. Its density of states at the Fermi level is 0.0 states/eV per cell. The uncorrected formation energy is -89 kJ/mol of atoms.

Material: PbO
Method: DFT, PBE-GGA
State: relaxed

The space group is P6_3mc (No. 186) and the conventional cell measures 4.0864, 4.0864 and 12.7987 Å, with angles of 90.00, 90.00 and 120.00 degrees. The distinct sites, in fractional coordinates, are Pb at (0.0000, 0.0000, 0.0000), Pb at (0.3333, 0.6667, 0.2216), O at (0.0000, 0.0000, 0.1778) and O at (0.3333, 0.6667, 0.0442).

The total moment comes out at 0.00 μB/f.u. The value obtained for the energy is -43.24 eV for the cell shown. Its density of states at the Fermi level is 0.0 states/eV per cell. The uncorrected formation energy is -103 kJ/mol of atoms.

Material: PbO
Method: DFT, PBE-GGA
State: relaxed

The space group is Cm (No. 8) and the conventional cell measures 14.767, 3.638 and 5.013 Å, with angles of 90.00, 109.77 and 90.00 degrees. The distinct sites, in fractional coordinates, are Pb at (0.000, 0.000, 0.000), Pb at (0.156, 0.500, 0.630), Pb at (0.312, 0.000, 0.310), O at (0.156, 0.000, 0.359), O at (0.323, 0.500, 0.604) and O at (0.488, 0.000, 0.271).

The total moment comes out at 0.00 μB/f.u. The value obtained for the energy is -64.32 eV for the cell shown. The uncorrected formation energy is -99 kJ/mol of atoms.